(1)
First-principles (PBE) data for an optimized crystal structure of YCu2SF, as listed in the Alexandria database.

a b c (Å): 5.2129 4.1783 5.2129
angles (deg): 90.00 90.00 90.00
With the nearest neighbours (Å) after each atom.
Positions (direct):
1 S 0.5000 0.5000 0.5000  8 Cu 3.34, 4 F 3.69
2 Cu 0.0000 0.0000 0.5000  2 Y 2.61
3 Cu 0.5000 0.0000 0.0000  2 Y 2.61
4 Y 0.0000 0.0000 0.0000  2 F 2.09
5 F 0.0000 0.5000 0.0000  2 Y 2.09

Output
* E_tot: -21.30 eV for the cell shown
* total moment: 0.0 μB per formula unit
* DOS(E_F): 3.1 states/eV/cell
* ΔE_f (raw): -0.128 eV per atom
* density: 3.906 g/cm³
* symmetry: No. 123



(2)
First-principles (PBE) data for an optimized crystal structure of CuSbF5, as listed in the Alexandria database.

a b c (Å): 5.7907 5.7907 7.4404
angles (deg): 71.07 71.07 79.40
With the nearest neighbours (Å) after each atom.
Positions (direct):
1 Sb 0.5375 0.4625 0.2500  4 F 2.03-2.12
2 F 0.6707 0.3363 0.5662  1 Sb 2.03
3 F 0.6637 0.3293 0.9338  1 Sb 2.03
4 F 0.3363 0.6707 0.0662  1 Sb 2.03
5 Cu 0.0000 0.0000 0.5000  4 F 1.93-1.95
6 F 0.7520 0.7705 0.6231  1 Cu 1.93, 1 Sb 2.12
7 F 0.7705 0.7520 0.1231  1 Cu 1.93, 1 Sb 2.12
8 F 0.2480 0.2295 0.3769  1 Cu 1.93, 1 Sb 2.12
9 F 0.3293 0.6637 0.4338  1 Sb 2.03
10 Cu 0.0000 0.0000 0.0000  4 F 1.93-1.95
11 F 0.9214 0.0786 0.2500  2 Cu 1.95
12 Sb 0.4625 0.5375 0.7500  4 F 2.03-2.12
13 F 0.2295 0.2480 0.8769  1 Cu 1.93, 1 Sb 2.12
14 F 0.0786 0.9214 0.7500  2 Cu 1.95

Output
* E_tot: -62.86 eV for the cell shown
* total moment: 0.8 μB per formula unit
* DOS(E_F): 2.8 states/eV/cell
* ΔE_f (raw): -1.979 eV per atom
* density: 4.186 g/cm³
* symmetry: No. 15



(3)
First-principles (PBE) data for an optimized crystal structure of Cu2SbF6, as listed in the Alexandria database.

a b c (Å): 5.4012 7.1303 7.1303
angles (deg): 81.70 69.40 69.40
With the nearest neighbours (Å) after each atom.
Positions (direct):
1 Cu 0.1153 0.2789 0.4043  3 F 1.94-2.02
2 F 0.3204 0.0768 0.1835  1 Cu 2.02
3 F 0.8204 0.1835 0.0768  1 Cu 2.02
4 F 0.3046 0.4080 0.9414  1 Cu 1.94, 1 Sb 2.16
5 F 0.9675 0.4384 0.6824  2 Cu 1.96-2.18
6 F 0.6954 0.5920 0.0586  1 Cu 1.94, 1 Sb 2.16
7 Cu 0.6153 0.4043 0.2789  3 F 1.94-2.02
8 F 0.6796 0.9232 0.8165  1 Cu 2.02
9 F 0.4675 0.6824 0.4384  2 Cu 1.96-2.18
10 F 0.0325 0.5616 0.3176  2 Cu 1.96-2.18
11 Sb 0.2500 0.1579 0.8421  4 F 2.16-2.30
12 F 0.1954 0.0586 0.5920  1 Cu 1.94, 1 Sb 2.16
13 Sb 0.7500 0.8421 0.1579  4 F 2.16-2.30
14 F 0.5325 0.3176 0.5616  2 Cu 1.96-2.18
15 Cu 0.3847 0.5957 0.7211  3 F 1.94-2.02
16 F 0.8046 0.9414 0.4080  1 Cu 1.94, 1 Sb 2.16
17 Cu 0.8847 0.7211 0.5957  3 F 1.94-2.02
18 F 0.1796 0.8165 0.9232  1 Cu 2.02

Output
* E_tot: -77.26 eV for the cell shown
* total moment: 1.0 μB per formula unit
* DOS(E_F): 5.1 states/eV/cell
* ΔE_f (raw): -1.677 eV per atom
* density: 5.009 g/cm³
* symmetry: No. 15



(4)
First-principles (PBE) data for an optimized crystal structure of Cu2SbF8, as listed in the Alexandria database.

a b c (Å): 4.3193 5.9664 5.9664
angles (deg): 77.45 90.40 90.40
With the nearest neighbours (Å) after each atom.
Positions (direct):
1 F 0.7418 0.1722 0.1722  1 Sb 1.96, 1 Cu 1.99
2 F 0.2402 0.9053 0.2767  1 Sb 1.92
3 Sb 0.0000 0.0000 0.0000  6 F 1.92-1.96
4 Cu 0.2552 0.6137 0.6137  4 F 1.97-2.19
5 F 0.2402 0.2767 0.9053  1 Sb 1.92
6 F 0.2502 0.4026 0.4026  3 Cu 1.97-2.19
7 F 0.7598 0.7233 0.0947  1 Sb 1.92
8 Cu 0.7448 0.3863 0.3863  4 F 1.97-2.19
9 F 0.7598 0.0947 0.7233  1 Sb 1.92
10 F 0.7498 0.5974 0.5974  3 Cu 1.97-2.19
11 F 0.2582 0.8278 0.8278  1 Sb 1.96, 1 Cu 1.99

Output
* E_tot: -47.62 eV for the cell shown
* total moment: 1.0 μB per formula unit
* DOS(E_F): 2.6 states/eV/cell
* polymorph energy (0 for the lowest one): 0.00 eV per formula unit
* ΔE_f (raw): -1.849 eV per atom
* density: 4.435 g/cm³
* symmetry: No. 12



(5)
First-principles (PBE) data for an optimized crystal structure of Cu2SbF8, as listed in the Alexandria database.

a b c (Å): 3.9842 6.5952 6.5952
angles (deg): 120.00 90.00 90.00
With the nearest neighbours (Å) after each atom.
Positions (direct):
1 F 0.2467 0.8544 0.1456  1 Sb 1.95, 1 Cu 2.15
2 F 0.7513 0.6667 0.3333  2 Cu 1.99-2.00
3 F 0.2487 0.3333 0.6667  2 Cu 1.99-2.00
4 F 0.7533 0.7089 0.8544  1 Sb 1.95, 1 Cu 2.15
5 F 0.2467 0.2911 0.1456  1 Sb 1.95, 1 Cu 2.15
6 Cu 0.2498 0.6667 0.3333  5 F 1.99-2.15
7 F 0.7533 0.1456 0.8544  1 Sb 1.95, 1 Cu 2.15
8 Cu 0.7502 0.3333 0.6667  5 F 1.99-2.15
9 F 0.2467 0.8544 0.7089  1 Sb 1.95, 1 Cu 2.15
10 Sb 0.5000 0.0000 0.0000  6 F 1.95
11 F 0.7533 0.1456 0.2911  1 Sb 1.95, 1 Cu 2.15

Output
* E_tot: -46.98 eV for the cell shown
* total moment: 1.0 μB per formula unit
* DOS(E_F): 1.8 states/eV/cell
* polymorph energy (0 for the lowest one): 0.64 eV per formula unit
* ΔE_f (raw): -1.791 eV per atom
* density: 4.435 g/cm³
* symmetry: No. 164



(6)
First-principles (PBE) data for an optimized crystal structure of TlCu2SbF8, as listed in the Alexandria database.

a b c (Å): 5.1147 5.1147 8.6999
angles (deg): 72.91 72.91 60.00
With the nearest neighbours (Å) after each atom.
Positions (direct):
1 F 0.0170 0.3763 0.8562  1 Sb 1.99, 1 Cu 2.12
2 F 0.3763 0.7505 0.8562  1 Sb 1.99, 1 Cu 2.12
3 Sb 0.0000 0.0000 0.0000  6 F 1.99
4 F 0.6237 0.2495 0.1438  1 Sb 1.99, 1 Cu 2.12
5 F 0.7505 0.0170 0.8562  1 Sb 1.99, 1 Cu 2.12
6 Cu 0.7689 0.7689 0.6933  1 F 1.85
7 F 0.9830 0.6237 0.1438  1 Sb 1.99, 1 Cu 2.12
8 Cu 0.2311 0.2311 0.3067  1 F 1.85
9 F 0.8445 0.8445 0.4666  1 Cu 1.85
10 F 0.2495 0.9830 0.1438  1 Sb 1.99, 1 Cu 2.12
11 Tl 0.5000 0.5000 0.5000  6 F 2.97
12 F 0.1555 0.1555 0.5334  1 Cu 1.85

Output
* E_tot: -50.75 eV for the cell shown
* total moment: 0.2 μB per formula unit
* DOS(E_F): 9.1 states/eV/cell
* ΔE_f (raw): -1.758 eV per atom
* density: 5.421 g/cm³
* symmetry: No. 148



(7)
First-principles (PBE) data for an optimized crystal structure of Tl2Cu3SbF12, as listed in the Alexandria database.

a b c (Å): 8.5165 8.5165 8.5165
angles (deg): 48.97 48.97 48.97
With the nearest neighbours (Å) after each atom.
Positions (direct):
1 F 0.9190 0.3281 0.3281  2 Cu 1.96
2 F 0.0810 0.6719 0.6719  2 Cu 1.96
3 Sb 0.0000 0.0000 0.0000  6 F 1.92
4 Tl 0.5847 0.5847 0.5847  3 F 2.76
5 F 0.0796 0.0796 0.6930  1 Sb 1.92
6 F 0.9204 0.9204 0.3070  1 Sb 1.92
7 Cu 0.5000 0.0000 0.0000  4 F 1.96
8 Cu 0.0000 0.0000 0.5000  4 F 1.96
9 F 0.6719 0.0810 0.6719  2 Cu 1.96
10 F 0.6719 0.6719 0.0810  2 Cu 1.96
11 Cu 0.0000 0.5000 0.0000  4 F 1.96
12 F 0.3070 0.9204 0.9204  1 Sb 1.92
13 F 0.3281 0.9190 0.3281  2 Cu 1.96
14 Tl 0.4153 0.4153 0.4153  3 F 2.76
15 F 0.9204 0.3070 0.9204  1 Sb 1.92
16 F 0.0796 0.6930 0.0796  1 Sb 1.92
17 F 0.3281 0.3281 0.9190  2 Cu 1.96
18 F 0.6930 0.0796 0.0796  1 Sb 1.92

Output
* E_tot: -76.98 eV for the cell shown
* total moment: 2.0 μB per formula unit
* DOS(E_F): 6.3 states/eV/cell
* ΔE_f (raw): -1.855 eV per atom
* density: 4.883 g/cm³
* symmetry: No. 166



(8)
First-principles (PBE) data for an optimized crystal structure of CuSb2Xe4F20, as listed in the Alexandria database.

a b c (Å): 9.1160 9.1160 9.1160
angles (deg): 102.50 102.50 124.55
With the nearest neighbours (Å) after each atom.
Positions (direct):
1 F 0.8762 0.1392 0.5228  1 Sb 1.92
2 Cu 0.5000 0.5000 0.0000  4 F 1.93
3 F 0.4182 0.0333 0.8851  1 Xe 2.02
4 F 0.6164 0.3535 0.4772  1 Sb 1.92
5 Sb 0.0000 0.0000 0.0000  6 F 1.91-1.95
6 F 0.9667 0.8518 0.3848  1 Xe 2.02
7 F 0.9773 0.4773 0.5000  1 Sb 1.93
8 Xe 0.2128 0.0961 0.5832  2 F 2.02-2.18
9 Xe 0.5129 0.6296 0.4168  2 F 2.02-2.18
10 F 0.6502 0.4503 0.1306  1 Cu 1.93
11 F 0.2294 0.2294 0.0000  1 Sb 1.95
12 Xe 0.3704 0.7872 0.8833  2 F 2.02-2.18
13 F 0.5227 0.0227 0.5000  1 Sb 1.93
14 F 0.1482 0.5330 0.1149  1 Xe 2.02
15 F 0.1416 0.9137 0.0653  1 Sb 1.91
16 F 0.8608 0.3836 0.7371  1 Sb 1.92
17 F 0.9237 0.8584 0.7721  1 Sb 1.91
18 F 0.4670 0.5818 0.6152  1 Xe 2.02
19 F 0.5497 0.6803 0.1999  1 Cu 1.93
20 F 0.8484 0.0763 0.9347  1 Sb 1.91
21 F 0.0863 0.1516 0.2279  1 Sb 1.91
22 Xe 0.9039 0.4871 0.1167  2 F 2.02-2.18
23 F 0.3197 0.5196 0.8694  1 Cu 1.93
24 F 0.7706 0.7706 0.0000  1 Sb 1.95
25 Sb 0.7500 0.2500 0.5000  6 F 1.92-1.93
26 F 0.4804 0.3498 0.8001  1 Cu 1.93
27 F 0.6465 0.1238 0.2629  1 Sb 1.92

Output
* E_tot: -88.52 eV for the cell shown
* total moment: 1.0 μB per formula unit
* ΔE_f (raw): -1.430 eV per atom
* density: 3.644 g/cm³
* symmetry: No. 82



(9)
First-principles (PBE) data for an optimized crystal structure of ScCu3F, as listed in the Alexandria database.

a b c (Å): 4.2431 4.2431 4.2431
angles (deg): 90.00 90.00 90.00
With the nearest neighbours (Å) after each atom.
Positions (direct):
1 Sc 0.5000 0.5000 0.5000  12 Cu 3.00
2 Cu 0.5000 0.0000 0.0000  2 F 2.12
3 Cu 0.0000 0.5000 0.0000  2 F 2.12
4 F 0.0000 0.0000 0.0000  6 Cu 2.12
5 Cu 0.0000 0.0000 0.5000  2 F 2.12

Output
* E_tot: -20.21 eV for the cell shown
* total moment: 0.0 μB per formula unit
* DOS(E_F): 10.5 states/eV/cell
* polymorph energy (0 for the lowest one): 0.00 eV per formula unit
* ΔE_f (raw): 0.057 eV per atom
* density: 5.534 g/cm³
* symmetry: No. 221



(10)
First-principles (PBE) data for an optimized crystal structure of ScCuF2, as listed in the Alexandria database.

a b c (Å): 4.9858 4.9858 7.0400
angles (deg): 69.26 69.26 90.00
With the nearest neighbours (Å) after each atom.
Positions (direct):
1 Sc 0.2500 0.7500 0.5000  4 F 1.99
2 Sc 0.5000 0.5000 0.0000  4 F 1.99
3 F 0.4314 0.1250 0.2500  2 Sc 1.99
4 Cu 0.0000 0.0000 0.0000  4 F 2.96
5 F 0.3186 0.6250 0.2500  2 Sc 1.99
6 F 0.8750 0.6814 0.7500  2 Sc 1.99
7 F 0.3750 0.5686 0.7500  2 Sc 1.99
8 Cu 0.7500 0.2500 0.5000  4 F 2.96

Output
* E_tot: -43.31 eV for the cell shown
* total moment: 0.0 μB per formula unit
* DOS(E_F): 1.4 states/eV/cell
* polymorph energy (0 for the lowest one): 0.38 eV per formula unit
* ΔE_f (raw): -1.872 eV per atom
* density: 3.212 g/cm³
* symmetry: No. 122



(11)
First-principles (PBE) data for an optimized crystal structure of ScCuF2, as listed in the Alexandria database.

a b c (Å): 6.3092 6.3092 6.3092
angles (deg): 32.18 32.18 32.18
With the nearest neighbours (Å) after each atom.
Positions (direct):
1 Cu 0.5000 0.5000 0.5000  6 F 2.24
2 Sc 0.0000 0.0000 0.0000  2 F 2.01
3 F 0.1122 0.1122 0.1122  1 Sc 2.01, 3 Cu 2.24
4 F 0.8878 0.8878 0.8878  1 Sc 2.01, 3 Cu 2.24

Output
* E_tot: -20.46 eV for the cell shown
* total moment: 0.0 μB per formula unit
* DOS(E_F): 0.7 states/eV/cell
* polymorph energy (0 for the lowest one): 1.59 eV per formula unit
* ΔE_f (raw): -1.571 eV per atom
* density: 3.842 g/cm³
* symmetry: No. 166



(12)
First-principles (PBE) data for an optimized crystal structure of ScCu3F, as listed in the Alexandria database.

a b c (Å): 4.9235 4.9235 4.9235
angles (deg): 90.00 90.00 90.00
With the nearest neighbours (Å) after each atom.
Positions (direct):
1 Cu 0.5000 0.0000 0.0000  2 Sc 2.46
2 F 0.5000 0.5000 0.5000  12 Cu 3.48
3 Cu 0.0000 0.0000 0.5000  2 Sc 2.46
4 Sc 0.0000 0.0000 0.0000  6 Cu 2.46
5 Cu 0.0000 0.5000 0.0000  2 Sc 2.46

Output
* E_tot: -15.54 eV for the cell shown
* total moment: 1.0 μB per formula unit
* DOS(E_F): 8.3 states/eV/cell
* polymorph energy (0 for the lowest one): 4.66 eV per formula unit
* ΔE_f (raw): 0.990 eV per atom
* density: 3.542 g/cm³
* symmetry: No. 221



- What is the formula in the twelfth record?
  ScCu3F



- Which of these has the lowest density?
  number 10